# MnSN2F GGA+U relaxed
data_MnSN2F
_space_group_name_H-M_alt 'P 1'
_space_group_IT_number 1
_cell_length_a 4.010
_cell_length_b 4.010
_cell_length_c 4.179
_cell_angle_alpha 90.00
_cell_angle_beta 90.00
_cell_angle_gamma 90.00
loop_
_space_group_symop_operation_xyz
'x,y,z'
loop_
_atom_site_label
_atom_site_type_symbol
_atom_site_fract_x
_atom_site_fract_y
_atom_site_fract_z
Mn1 Mn 0.000 0.000 0.000
S1 S 0.500 0.500 0.000
N1 N 0.000 0.500 0.500
N2 N 0.500 0.000 0.500
F1 F 0.500 0.500 0.500
# Distance to the lowest polymorph of the same formula   5.835 eV/f.u.
# Space group   P4/mmm